Below is a relaxed structure of InAs3S, with properties calculated at the GGA-PBE level.

Unit cell a=5.205 b=5.205 c=5.205 alpha=90.00 beta=90.00 gamma=90.00
Fractional coordinates of all 5 atoms:
As 0.000 0.000 0.500
As 0.500 0.000 0.000
S 0.500 0.500 0.500
As 0.000 0.500 0.000
In 0.000 0.000 0.000

Calculated values
The space-group type is Pm-3m (221). For the size of the total moment, the calculation gives 0.0 μB per formula unit. The energy above the most stable polymorph in this dataset comes out at 681 meV per atom. For the final energy, the calculation gives -2.91 eV/atom.